(1)
A plane-wave DFT calculation with PBE was carried out for Cr2OsSe after structural relaxation.

The structure in POSCAR format:
```
Cr2OsSe
1.0
4.2622 0.0000 0.0000
2.1311 3.6911 0.0000
2.1311 1.2304 3.4800
Cr Os Se
2 1 1
direct
0.0000 0.0000 0.0000
0.2500 0.2500 0.2500
0.5000 0.5000 0.5000
0.7500 0.7500 0.7500
```

SG = F-43m (216)
formation energy without anion corrections = 0.441 eV/atom

***

(2)
A plane-wave DFT calculation with PBE was carried out for Cr2OsSe after structural relaxation.

The structure in POSCAR format:
```
Cr2OsSe
1.0
-3.8102 1.9054 -1.3911
0.1071 -4.0265 -1.9644
-1.4134 -1.1547 2.2897
Cr Os Se
2 1 1
direct
0.0000 0.0000 0.0000
0.5000 0.5000 0.0000
0.5000 0.0000 0.5000
0.0000 0.5000 0.5000
```

SG = Cmmm (65)
formation energy without anion corrections = 0.371 eV/atom

***

(3)
A plane-wave DFT calculation with PBE was carried out for Cr2OsSe after structural relaxation.

The structure in POSCAR format:
```
Cr2OsSe
1.0
-5.6063 1.0836 -0.1226
-0.6751 -2.9443 4.8471
-2.3722 3.3519 5.0705
Cr Os Se
4 2 2
direct
0.6382 0.1250 0.2500
0.1118 0.6250 0.2500
0.3750 0.3618 0.7500
0.8750 0.8882 0.7500
0.0000 0.0000 0.0000
0.7500 0.2500 0.5000
0.5000 0.5000 0.0000
0.2500 0.7500 0.5000
```

SG = I-42d (122)
formation energy without anion corrections = 0.747 eV/atom

***

(4)
A plane-wave DFT calculation with PBE was carried out for CrOsSe after structural relaxation.

The structure in POSCAR format:
```
CrOsSe
1.0
-1.9998 0.0636 -1.9726
0.9039 -2.4669 -0.9959
-7.6044 -5.8227 7.5215
Se Cr Os
2 2 2
direct
0.0000 0.5000 0.6539
0.5000 0.0000 0.3461
0.5000 0.0000 0.7766
0.0000 0.5000 0.2234
0.0000 0.5000 0.9228
0.5000 0.0000 0.0772
```

SG = P4/nmm (129)
formation energy without anion corrections = 0.027 eV/atom

***

(5)
A plane-wave DFT calculation with PBE was carried out for Cr2OsSe after structural relaxation.

The structure in POSCAR format:
```
Cr2OsSe
1.0
-1.7344 4.6214 0.0677
-4.2969 0.7558 -2.3099
2.2998 -2.4515 3.6155
Cr Os Se
2 1 1
direct
0.0207 0.0207 0.0000
0.4793 0.4793 0.0000
0.7500 0.2500 0.5000
0.2500 0.7500 0.5000
```

SG = Immm (71)
formation energy without anion corrections = 0.374 eV/atom

***

(6)
A plane-wave DFT calculation with PBE was carried out for CrOsSe after structural relaxation.

The structure in POSCAR format:
```
CrOsSe
1.0
4.1547 0.0000 0.0000
2.0773 3.5981 0.0000
2.0773 1.1994 3.3923
Cr Os Se
1 1 1
direct
0.5000 0.5000 0.5000
0.7500 0.7500 0.7500
0.0000 0.0000 0.0000
```

SG = F-43m (216)
formation energy without anion corrections = 0.342 eV/atom